MnBeAu4 (PBE, optimized geometry); energy above the most stable polymorph in this dataset = 3.05 eV/f.u.; formation enthalpy at 0 K = 2.585 eV per formula unit
1.0
0.000 3.836 3.836
3.836 0.000 3.836
3.836 3.836 0.000
Mn Be Au
1 1 4
Direct
0.000 0.000 0.000 Mn
0.750 0.750 0.750 Be
0.875 0.375 0.375 Au
0.375 0.375 0.875 Au
0.375 0.875 0.375 Au
0.375 0.375 0.375 Au



LaMn3Sn (PBE, optimized geometry); energy above the most stable polymorph in this dataset = 3.62 eV/f.u.; formation enthalpy at 0 K = 7.057 eV per formula unit
1.0
4.826 0.000 0.000
0.000 4.826 0.000
0.000 0.000 4.826
Mn Sn La
3 1 1
Direct
0.000 0.500 0.000 Mn
0.000 0.000 0.500 Mn
0.500 0.000 0.000 Mn
0.500 0.500 0.500 Sn
0.000 0.000 0.000 La



Be2HgHRh (PBE, optimized geometry); calculated total energy = -3.37 eV per atom
1.0
-0.820 0.501 -3.747
3.167 -1.760 -0.928
-1.888 -3.377 -0.038
Be Rh Hg H
2 1 1 1
Direct
0.000 0.000 0.500 Be
0.500 0.000 0.000 Be
0.500 0.500 0.500 Rh
0.000 0.500 0.000 Hg
0.000 0.000 0.000 H



Ac8Co3NiBr4 (PBE, optimized geometry); raw formation energy = -0.784 eV/atom
1.0
8.501 0.000 0.000
0.000 9.574 0.742
-4.251 -4.245 6.016
Ac Co Ni Br
8 3 1 4
Direct
0.233 0.691 0.958 Ac
0.233 0.691 0.466 Ac
0.270 0.309 0.539 Ac
0.725 0.691 0.958 Ac
0.275 0.309 0.042 Ac
0.730 0.691 0.461 Ac
0.767 0.309 0.534 Ac
0.767 0.309 0.042 Ac
0.500 0.500 0.000 Co
0.500 0.500 0.500 Co
0.000 0.500 0.500 Co
0.000 0.500 0.000 Ni
0.500 0.000 0.000 Br
0.500 0.000 0.500 Br
0.000 0.000 0.000 Br
0.000 0.000 0.500 Br



LiZrGeN3 (PBE, optimized geometry); raw formation energy = -0.592 eV/atom
1.0
3.186 0.000 0.000
0.000 5.736 1.055
0.000 -0.497 8.741
Li Zr Ge N
2 2 2 6
Direct
0.250 0.072 0.133 Li
0.750 0.928 0.867 Li
0.250 0.566 0.143 Zr
0.750 0.434 0.857 Zr
0.250 0.139 0.580 Ge
0.750 0.861 0.420 Ge
0.750 0.789 0.223 N
0.250 0.211 0.777 N
0.250 0.809 0.537 N
0.750 0.191 0.463 N
0.750 0.328 0.089 N
0.250 0.672 0.911 N



TiNiHg (PBE, optimized geometry); energy above the most stable polymorph in this dataset = 1.30 eV/f.u.; formation enthalpy at 0 K = 0.970 eV per formula unit
1.0
-5.183 0.642 0.695
4.285 -2.419 1.885
1.138 6.121 6.684
Hg Ni Ti
2 2 2
Direct
0.818 0.818 0.364 Hg
0.182 0.182 0.636 Hg
0.569 0.569 0.863 Ni
0.431 0.431 0.137 Ni
0.862 0.138 0.000 Ti
0.138 0.862 0.000 Ti



Mg2Cu2Hg (PBE, optimized geometry); energy above the most stable polymorph in this dataset = 1.34 eV/f.u.; formation enthalpy at 0 K = 0.833 eV per formula unit
1.0
4.091 0.000 0.000
0.000 4.091 0.000
2.045 2.045 5.703
Mg Hg Cu
2 1 2
Direct
0.750 0.250 0.500 Mg
0.250 0.750 0.500 Mg
0.000 0.000 0.000 Hg
0.397 0.397 0.205 Cu
0.603 0.603 0.795 Cu



Np2Ni3P4 (PBE, optimized geometry); formation enthalpy at 0 K = -5.356 eV per formula unit
1.0
-5.496 -1.425 -0.915
1.194 -6.494 2.940
1.233 2.965 6.049
Np Ni P
4 6 8
Direct
0.091 0.565 0.183 Np
0.909 0.435 0.817 Np
0.409 0.065 0.817 Np
0.591 0.935 0.183 Np
0.000 0.000 0.000 Ni
0.500 0.500 0.000 Ni
0.517 0.750 0.533 Ni
0.983 0.250 0.467 Ni
0.483 0.250 0.467 Ni
0.017 0.750 0.533 Ni
0.695 0.750 0.889 P
0.805 0.250 0.111 P
0.305 0.250 0.111 P
0.195 0.750 0.889 P
0.185 0.948 0.369 P
0.815 0.052 0.631 P
0.315 0.448 0.631 P
0.685 0.552 0.369 P



CaBrO2 (PBE, optimized geometry); energy above the most stable polymorph in this dataset = 0.38 eV/f.u.; raw formation energy = -1.362 eV/atom
1.0
16.023 0.000 0.561
0.000 4.345 0.000
-5.549 0.000 4.545
Ca O Br
4 8 4
Direct
0.315 0.273 0.081 Ca
0.685 0.727 0.919 Ca
0.185 0.773 0.419 Ca
0.815 0.227 0.581 Ca
0.856 0.846 0.408 O
0.144 0.154 0.592 O
0.644 0.346 0.092 O
0.356 0.654 0.908 O
0.172 0.881 0.722 O
0.828 0.119 0.278 O
0.328 0.381 0.778 O
0.672 0.619 0.222 O
0.604 0.223 0.521 Br
0.396 0.777 0.479 Br
0.896 0.723 0.979 Br
0.104 0.277 0.021 Br



TiAs2PtSe (PBE, optimized geometry); energy above the most stable polymorph in this dataset = 0.78 eV/f.u.; raw formation energy = 0.566 eV/atom
1.0
4.814 0.000 0.000
0.000 4.814 0.000
0.000 0.000 5.041
As Se Pt Ti
2 1 1 1
Direct
0.000 0.500 0.000 As
0.500 0.000 0.000 As
0.000 0.000 0.500 Se
0.000 0.000 0.000 Pt
0.500 0.500 0.500 Ti



Zn4PbF8 (PBE, optimized geometry); raw formation energy = -1.896 eV/atom
1.0
6.723 0.000 0.000
3.361 5.822 0.000
3.361 1.941 5.489
Zn Pb F
4 1 8
Direct
0.888 0.371 0.371 Zn
0.371 0.888 0.371 Zn
0.371 0.371 0.888 Zn
0.371 0.371 0.371 Zn
0.750 0.750 0.750 Pb
0.560 0.147 0.147 F
0.147 0.560 0.147 F
0.147 0.147 0.560 F
0.147 0.147 0.147 F
0.196 0.601 0.601 F
0.601 0.196 0.601 F
0.601 0.601 0.196 F
0.601 0.601 0.601 F



Er2Ga3CuPt4 (PBE, optimized geometry); formation enthalpy at 0 K = -8.733 eV per formula unit
1.0
-0.973 -2.981 -2.478
2.463 -2.448 1.978
-8.563 -2.991 6.960
Er Ga Cu Pt
2 3 1 4
Direct
0.500 0.000 0.261 Er
0.000 0.500 0.739 Er
0.000 0.000 0.500 Ga
0.500 0.000 0.865 Ga
0.000 0.500 0.135 Ga
0.500 0.500 0.500 Cu
0.500 0.500 0.000 Pt
0.000 0.000 0.000 Pt
0.500 0.000 0.649 Pt
0.000 0.500 0.351 Pt